The following is a GGA-PBE calculation of a relaxed structure of In4Hg2TeSe, from Alexandria.

## Properties
**Total magnetic moment**: 0.00 μB/f.u.
**Formation energy from raw total energies**: -1.6 eV/f.u.
**SG**: No. 10
**N(E_F)**: 0.330 states/eV per atom

a b c (Å): 4.2320 7.3244 7.8696
angles (deg): 107.64 90.00 90.00
Positions (direct):
In  0.5000  0.2325  0.2393
In  0.5000  0.7675  0.7607
In  0.0000  0.2360  0.7530
In  0.0000  0.7640  0.2470
Hg  0.5000  0.0000  0.5000
Hg  0.0000  0.5000  0.5000
Te  0.5000  0.5000  0.0000
Se  0.0000  0.0000  0.0000


The following is a GGA-PBE calculation of a relaxed structure of TlIn2HgSe, from Alexandria.

## Properties
**Total magnetic moment**: 0.00 μB/f.u.
**Formation energy from raw total energies**: -0.4 eV/f.u.
**SG**: No. 63
**N(E_F)**: 0.491 states/eV per atom

a b c (Å): 6.8128 6.6601 7.4025
angles (deg): 116.73 90.00 90.00
Positions (direct):
Tl  0.7500  0.7486  0.4972
Tl  0.2500  0.2514  0.5028
In  0.5000  0.2780  0.0000
In  0.0000  0.7220  0.0000
In  0.5000  0.7220  0.0000
In  0.0000  0.2780  0.0000
Hg  0.2500  0.8778  0.7557
Hg  0.7500  0.1222  0.2443
Se  0.2500  0.6718  0.3437
Se  0.7500  0.3282  0.6563


The following is a GGA-PBE calculation of a relaxed structure of Tl2InHgSe, from Alexandria.

## Properties
**Total magnetic moment**: 0.00 μB/f.u.
**Formation energy from raw total energies**: -0.6 eV/f.u.
**SG**: No. 129
**N(E_F)**: 0.511 states/eV per atom

a b c (Å): 4.5636 4.5636 14.3425
angles (deg): 90.00 90.00 90.00
Positions (direct):
Tl  0.0000  0.5000  0.6978
Tl  0.0000  0.5000  0.1045
Tl  0.5000  0.0000  0.8955
Tl  0.5000  0.0000  0.3022
In  0.0000  0.0000  0.5000
In  0.5000  0.5000  0.5000
Hg  0.5000  0.0000  0.6703
Hg  0.0000  0.5000  0.3297
Se  0.5000  0.0000  0.1073
Se  0.0000  0.5000  0.8927


The following is a GGA-PBE calculation of a relaxed structure of Tl2InHgSe4, from Alexandria.

## Properties
**Total magnetic moment**: 0.00 μB/f.u.
**Formation energy from raw total energies**: -2.5 eV/f.u.
**SG**: No. 5
**N(E_F)**: 0.503 states/eV per atom

a b c (Å): 7.3168 7.2006 7.3216
angles (deg): 126.86 127.38 77.43
Positions (direct):
Tl  0.5381  0.0379  0.0762
Tl  0.3017  0.3009  0.6026
In  0.9875  0.4877  0.9751
Hg  0.7587  0.7583  0.5170
Se  0.6029  0.5703  0.6355
Se  0.8601  0.3663  0.1661
Se  0.3060  0.7997  0.1660
Se  0.0322  0.0659  0.6356


The following is a GGA-PBE calculation of a relaxed structure of TlInHgSe, from Alexandria.

## Properties
**Total magnetic moment**: 0.00 μB/f.u.
**Formation energy from raw total energies**: -1.0 eV/f.u.
**SG**: No. 156
**N(E_F)**: 0.252 states/eV per atom
**Polymorph energy (0 for the lowest one)**: 0.000 eV/atom

a b c (Å): 4.2186 4.2186 8.2219
angles (deg): 90.02 90.02 60.02
Positions (direct):
Tl  0.2015  0.2015  0.0314
In  0.5346  0.5346  0.5970
Hg  0.8682  0.8682  0.3263
Se  0.8680  0.8680  0.7943


The following is a GGA-PBE calculation of a relaxed structure of TlInHg2Se4, from Alexandria.

## Properties
**Total magnetic moment**: 0.00 μB/f.u.
**Formation energy from raw total energies**: -2.8 eV/f.u.
**SG**: No. 23

a b c (Å): 7.0225 6.9912 6.9912
angles (deg): 72.25 59.85 59.85
Positions (direct):
Tl  0.0000  0.0000  0.0000
In  0.5000  0.5000  0.5000
Hg  0.1830  0.3170  0.3170
Hg  0.8170  0.6830  0.6830
Se  0.4550  0.1426  0.5143
Se  0.1119  0.8574  0.4857
Se  0.8881  0.5143  0.1426
Se  0.5450  0.4857  0.8574


What did the third record say?
The following is a GGA-PBE calculation of a relaxed structure of Tl2InHgSe, from Alexandria.

## Properties
**Total magnetic moment**: 0.00 μB/f.u.
**Formation energy from raw total energies**: -0.6 eV/f.u.
**SG**: No. 129
**N(E_F)**: 0.511 states/eV per atom

a b c (Å): 4.5636 4.5636 14.3425
angles (deg): 90.00 90.00 90.00
Positions (direct):
Tl  0.0000  0.5000  0.6978
Tl  0.0000  0.5000  0.1045
Tl  0.5000  0.0000  0.8955
Tl  0.5000  0.0000  0.3022
In  0.0000  0.0000  0.5000
In  0.5000  0.5000  0.5000
Hg  0.5000  0.0000  0.6703
Hg  0.0000  0.5000  0.3297
Se  0.5000  0.0000  0.1073
Se  0.0000  0.5000  0.8927


Q: Look up the formation energy from raw total energies of the third one.
A: -0.6 eV/f.u.